First-principles (SCAN) data for a PBEsol-optimized structure of Li9Co3P8O29, as listed in the Alexandria database.

Properties
Volume, Å³ per atom: 10.81
Raw total energy, eV per atom: -9.267
Space-group type: No. 165
Crystal system: trigonal
Formation energy (no corrections), eV per formula unit: -116.79

Cell: 9.517 9.517 13.510 Å, 90.00 90.00 120.00°
Sites, in units of the cell vectors:
O1 0.618 0.106 0.833
O2 0.260 0.336 0.157
Li1 0.339 0.238 0.063
O3 0.227 0.999 0.065
O4 0.773 0.773 0.435
O5 0.382 0.894 0.167
P1 0.908 0.229 0.343
Co1 0.568 0.568 0.750
Co2 0.568 0.000 0.250
O6 0.227 0.227 0.565
O7 0.106 0.618 0.667
O8 0.740 0.076 0.343
O9 0.187 0.506 0.831
O10 0.227 0.001 0.435
P2 0.333 0.667 0.369
O11 0.488 0.382 0.833
O12 0.773 0.001 0.935
O13 0.512 0.894 0.667
P3 0.771 0.679 0.343
P4 0.229 0.908 0.157
O14 0.001 0.773 0.565
P5 0.333 0.667 0.869
P6 0.092 0.321 0.157
O15 0.260 0.924 0.657
Li2 0.899 0.238 0.563
O16 0.076 0.740 0.157
Co3 0.000 0.568 0.250
P7 0.667 0.333 0.131
O17 0.001 0.227 0.065
O18 0.681 0.187 0.169
P8 0.771 0.092 0.843
Li3 0.238 0.339 0.437
O19 0.894 0.512 0.833
O20 0.382 0.488 0.667
Li4 0.101 0.762 0.437
O21 0.333 0.667 0.481
O22 0.773 0.773 0.065
O23 0.187 0.681 0.331
O24 0.494 0.813 0.331
Co4 0.432 0.432 0.250
O25 0.664 0.740 0.657
Co5 0.000 0.432 0.750
O26 0.076 0.336 0.657
Li5 0.339 0.101 0.563
P9 0.092 0.771 0.657
Li6 0.661 0.762 0.937
Li7 0.762 0.661 0.563
Li8 0.667 0.333 0.881
O27 0.319 0.506 0.331
O28 0.813 0.319 0.669
O29 0.789 0.000 0.750
O30 0.336 0.260 0.343
O31 0.333 0.667 0.981
P10 0.321 0.092 0.343
O32 0.894 0.382 0.333
Li9 0.661 0.899 0.437
O33 0.667 0.333 0.019
Co6 0.432 0.000 0.750
Li10 0.000 0.000 0.000
O34 0.664 0.924 0.157
O35 0.488 0.106 0.333
Li11 0.333 0.667 0.119
Li12 0.667 0.333 0.381
O36 0.740 0.664 0.843
O37 0.506 0.319 0.169
O38 0.227 0.227 0.935
O39 0.336 0.076 0.843
P11 0.908 0.679 0.843
O40 0.924 0.664 0.343
O41 0.681 0.494 0.669
O42 0.106 0.488 0.167
O43 0.211 0.211 0.750
O44 0.000 0.789 0.750
P12 0.229 0.321 0.657
O45 0.924 0.260 0.843
O46 0.773 0.999 0.565
P13 0.667 0.333 0.631
Li13 0.238 0.899 0.937
Li14 0.000 0.000 0.500
O47 0.319 0.813 0.831
P14 0.679 0.908 0.657
O48 0.789 0.789 0.250
Li15 0.333 0.667 0.619
O49 0.512 0.618 0.167
O50 0.999 0.227 0.435
Li16 0.899 0.661 0.063
O51 0.506 0.187 0.669
Li17 0.101 0.339 0.937
O52 0.667 0.333 0.519
O53 0.494 0.681 0.831
P15 0.321 0.229 0.843
O54 0.999 0.773 0.935
O55 0.813 0.494 0.169
O56 0.211 0.000 0.250
P16 0.679 0.771 0.157
O57 0.618 0.512 0.333
Li18 0.762 0.101 0.063
O58 0.000 0.211 0.250

---

First-principles (SCAN) data for a PBEsol-optimized structure of LaCO, as listed in the Alexandria database.

Properties
Volume, Å³ per atom: 16.75
Raw total energy, eV per atom: -21.971
Space-group type: No. 12
Crystal system: monoclinic
Formation energy (no corrections), eV per formula unit: -6.48

Cell: 3.966 4.028 7.262 Å, 94.81 90.00 119.50°
Sites, in units of the cell vectors:
O1 0.348 0.695 0.621
C1 0.040 0.080 0.926
C2 0.960 0.920 0.074
La1 0.316 0.632 0.292
O2 0.652 0.305 0.379
La2 0.684 0.368 0.708

---

Question: The highest raw total energy belongs to which entry?
Answer: Li9Co3P8O29

---

Question: Among the records above, which one has the highest raw total energy?
Answer: Li9Co3P8O29